Entry 1:
Cs5Tl4Pb | PBE | relaxed

a = 5.1040 Å, b = 10.2096 Å, c = 12.5251 Å
α = 112.10°, β = 101.76°, γ = 90.00°
Sites, in units of the cell vectors:
Cs 0.1379 0.2806 0.2759
Cs 0.1948 0.7948 0.3896
Cs 0.8052 0.2052 0.6104
Cs 0.5000 0.5000 0.0000
Cs 0.8621 0.7194 0.7241
Tl 0.6234 0.9716 0.2467
Tl 0.9687 0.1715 0.9373
Tl 0.3766 0.0284 0.7533
Tl 0.0313 0.8285 0.0627
Pb 0.5000 0.0000 0.0000

Output
The value obtained for the calculated density is 4.8 g/cm³. For the energy relative to the elements, the calculation gives -0.08 eV per atom. The space group is C2/m (12).


Entry 2:
CsYTl2Pb | PBE | relaxed

a = 6.2766 Å, b = 5.9346 Å, c = 6.2766 Å
α = 90.00°, β = 90.00°, γ = 90.00°
Sites, in units of the cell vectors:
Pb 0.0000 0.0000 0.0000
Cs 0.5000 0.5000 0.5000
Tl 0.0000 0.0000 0.5000
Tl 0.5000 0.0000 0.0000
Y 0.0000 0.5000 0.0000

Output
The value obtained for the calculated density is 6.0 g/cm³. For the energy relative to the elements, the calculation gives 0.31 eV per atom. The space group is P4/mmm (123).